Material: Ba2Y
Method: DFT, PBEsol
State: optimized geometry

Unit cell a=6.402 b=6.402 c=3.891 alpha=90.00 beta=90.00 gamma=90.00
Fractional coordinates of all 3 atoms:
1 Ba 0.000 0.500 0.000
2 Ba 0.500 0.000 0.000
3 Y 0.000 0.000 0.500

Energy above the most stable polymorph in this dataset: 0.74 eV/f.u.
Calculated density: 3.79 g/cm³
Symmetry: P4/mmm, No. 123
Size of the total moment: 0.01 μB/f.u.
Formation energy: 1.38 eV per formula unit



Material: Cs2VF6
Method: DFT, PBEsol
State: optimized geometry

Unit cell a=7.874 b=7.874 c=7.280 alpha=90.00 beta=90.00 gamma=134.71
Fractional coordinates of all 18 atoms:
1 Cs 0.046 0.954 0.750
2 Cs 0.273 0.727 0.250
3 Cs 0.727 0.273 0.750
4 Cs 0.954 0.046 0.250
5 V 0.384 0.616 0.750
6 V 0.616 0.384 0.250
7 F 0.161 0.398 0.572
8 F 0.161 0.398 0.928
9 F 0.256 0.744 0.750
10 F 0.398 0.161 0.072
11 F 0.398 0.161 0.428
12 F 0.491 0.509 0.250
13 F 0.509 0.491 0.750
14 F 0.602 0.839 0.572
15 F 0.602 0.839 0.928
16 F 0.744 0.256 0.250
17 F 0.839 0.602 0.072
18 F 0.839 0.602 0.428

Raw formation energy: -2.97 eV per atom
Calculated density: 4.46 g/cm³
Symmetry: Cmcm, No. 63
Size of the total moment: 1.00 μB/f.u.



Material: YMnB4
Method: DFT, PBEsol
State: optimized geometry

Unit cell a=5.873 b=11.359 c=3.356 alpha=90.00 beta=90.00 gamma=90.00
Fractional coordinates of all 24 atoms:
1 Y 0.126 0.150 0.000
2 Y 0.374 0.650 0.000
3 Y 0.626 0.350 0.000
4 Y 0.874 0.850 0.000
5 Mn 0.127 0.417 0.000
6 Mn 0.373 0.917 0.000
7 Mn 0.627 0.083 0.000
8 Mn 0.873 0.583 0.000
9 B 0.025 0.691 0.500
10 B 0.112 0.546 0.500
11 B 0.138 0.968 0.500
12 B 0.219 0.816 0.500
13 B 0.281 0.316 0.500
14 B 0.362 0.468 0.500
15 B 0.388 0.046 0.500
16 B 0.475 0.191 0.500
17 B 0.525 0.809 0.500
18 B 0.612 0.954 0.500
19 B 0.638 0.532 0.500
20 B 0.719 0.684 0.500
21 B 0.781 0.184 0.500
22 B 0.862 0.032 0.500
23 B 0.888 0.454 0.500
24 B 0.975 0.309 0.500

Calculated density: 5.55 g/cm³
Symmetry: Pbam, No. 55
Size of the total moment: 0.87 μB/f.u.
Formation energy: -4.26 eV per formula unit



Material: TaCo2
Method: DFT, PBEsol
State: optimized geometry

Unit cell a=4.146 b=4.146 c=4.995 alpha=90.00 beta=90.00 gamma=120.00
Fractional coordinates of all 6 atoms:
1 Ta 0.333 0.667 0.250
2 Ta 0.667 0.333 0.750
3 Co 0.000 0.000 0.000
4 Co 0.000 0.000 0.500
5 Co 0.333 0.667 0.750
6 Co 0.667 0.333 0.250

Calculated density: 13.35 g/cm³
Symmetry: P6_3/mmc, No. 194
Size of the total moment: 0.45 μB/f.u.
Formation energy: -0.55 eV per formula unit



Material: LiTiPt2W
Method: DFT, PBEsol
State: optimized geometry

Unit cell a=4.072 b=4.072 c=4.319 alpha=90.00 beta=90.00 gamma=90.00
Fractional coordinates of all 5 atoms:
1 Li 0.000 0.000 0.000
2 Ti 0.500 0.500 0.500
3 Pt 0.000 0.500 0.000
4 Pt 0.500 0.000 0.000
5 W 0.000 0.000 0.500

Calculated density: 14.58 g/cm³
Symmetry: P4/mmm, No. 123
Size of the total moment: 0.01 μB/f.u.
Formation energy: 2.31 eV per formula unit



Material: ZnCuIr2
Method: DFT, PBEsol
State: optimized geometry

Unit cell a=2.711 b=2.711 c=7.232 alpha=90.00 beta=90.00 gamma=90.00
Fractional coordinates of all 4 atoms:
1 Zn 0.000 0.000 0.000
2 Cu 0.500 0.500 0.237
3 Ir 0.000 0.000 0.488
4 Ir 0.500 0.500 0.741

Calculated density: 16.04 g/cm³
Symmetry: P4mm, No. 99
Size of the total moment: 0.00 μB/f.u.
Formation energy: -0.09 eV per formula unit



Number 1: volume 159 Å³/cell. Number 2: volume 321 Å³/cell. Number 3: volume 224 Å³/cell. Number 4: volume 74 Å³/cell. Number 5: volume 72 Å³/cell. Number 6: volume 53 Å³/cell.